LiLaBPt6 | PBE | relaxed

Values from the calculation:
Size of the total moment in μB/f.u.: 0.000
Formation enthalpy at 0 K in kJ per mole of atoms: -44.6

a b c (Å): 5.775 9.415 11.322
angles (deg): 90.00 90.00 90.00
Space group Imma (No. 74)
Inequivalent atoms, fractional coordinates:
Li 0.250 0.250 0.250
La 0.000 0.250 0.672
B 0.000 0.000 0.000
Pt 0.000 0.250 0.423
Pt 0.000 0.250 0.944
Pt 0.247 0.015 0.372

---

LiLa2BPt6 | PBE | relaxed

Values from the calculation:
Size of the total moment in μB/f.u.: 0.000
Formation enthalpy at 0 K in kJ per mole of atoms: -83.1

a b c (Å): 5.6857 5.6857 19.8915
angles (deg): 90.00 90.00 120.00
Space group R-3m (No. 166, hexagonal axes)
Inequivalent atoms, fractional coordinates:
Li 0.0000 0.0000 0.0000
La 0.0000 0.0000 0.2869
B 0.0000 0.0000 0.5000
Pt 0.0121 0.5061 0.7687

---

Li2La2BPt4 | PBE | relaxed

Values from the calculation:
Size of the total moment in μB/f.u.: 0.000
Formation enthalpy at 0 K in kJ per mole of atoms: -73.3

a b c (Å): 6.488 6.488 8.095
angles (deg): 90.00 90.00 90.00
Space group I4/mmm (No. 139)
Inequivalent atoms, fractional coordinates:
Li 0.000 0.000 0.169
La 0.000 0.500 0.250
B 0.000 0.000 0.500
Pt 0.232 0.232 0.500

---

Li2LaBRh | PBE | relaxed

Values from the calculation:
Size of the total moment in μB/f.u.: 0.000
Formation enthalpy at 0 K in kJ per mole of atoms: -14.8

a b c (Å): 4.343 4.343 4.297
angles (deg): 90.00 90.00 90.00
Space group P4/mmm (No. 123)
Inequivalent atoms, fractional coordinates:
Li 0.000 0.500 0.000
La 0.000 0.000 0.500
B 0.500 0.500 0.000
Rh 0.500 0.500 0.500

---

LiLa2B2Rh5 | PBE | relaxed

Values from the calculation:
Size of the total moment in μB/f.u.: 0.000
Formation enthalpy at 0 K in kJ per mole of atoms: -51.8

a b c (Å): 9.816 9.816 3.246
angles (deg): 90.00 90.00 90.00
Space group P4/mbm (No. 127)
Inequivalent atoms, fractional coordinates:
Li 0.000 0.000 0.000
La 0.177 0.323 0.000
B 0.122 0.622 0.000
Rh 0.000 0.500 0.500
Rh 0.070 0.772 0.500

---

LiLa2BSe | PBE | relaxed

Values from the calculation:
Size of the total moment in μB/f.u.: 0.000
Uncorrected formation energy in meV per atom: -559

a b c (Å): 5.260 5.260 4.260
angles (deg): 90.00 90.00 90.00
Space group P4/mmm (No. 123)
Inequivalent atoms, fractional coordinates:
Li 0.000 0.000 0.000
La 0.000 0.500 0.500
B 0.000 0.000 0.500
Se 0.500 0.500 0.000

---

LiLaTl2B | PBE | relaxed

Values from the calculation:
Size of the total moment in μB/f.u.: 1.548
Formation enthalpy at 0 K in kJ per mole of atoms: 164.2

a b c (Å): 6.137 6.137 5.904
angles (deg): 90.00 90.00 90.00
Space group P4/mmm (No. 123)
Inequivalent atoms, fractional coordinates:
Li 0.000 0.000 0.000
La 0.000 0.000 0.500
Tl 0.000 0.500 0.500
B 0.500 0.500 0.000

---

LaMgB | PBE | relaxed

Values from the calculation:
Size of the total moment in μB/f.u.: 0.000
Formation enthalpy at 0 K in kJ per mole of atoms: 0.1
Energy above the lowest structure with this stoichiometry in meV/atom: 223.2

a b c (Å): 3.994 5.318 7.297
angles (deg): 100.26 90.12 111.92
Space group P-1 (No. 2)
Inequivalent atoms, fractional coordinates:
La 0.121 0.243 0.330
Mg 0.368 0.736 0.089
B 0.428 0.855 0.430

---

LaMgB3 | PBE | relaxed

Values from the calculation:
Size of the total moment in μB/f.u.: 0.000
Formation enthalpy at 0 K in kJ per mole of atoms: 201.0
Energy above the lowest structure with this stoichiometry in meV/atom: 904.2

a b c (Å): 4.748 4.748 4.748
angles (deg): 90.00 90.00 90.00
Space group Pm-3m (No. 221)
Inequivalent atoms, fractional coordinates:
La 0.000 0.000 0.000
Mg 0.500 0.500 0.500
B 0.000 0.000 0.500

---

LaMgB | PBE | relaxed

Values from the calculation:
Size of the total moment in μB/f.u.: 0.000
Formation enthalpy at 0 K in kJ per mole of atoms: 29.2
Energy above the lowest structure with this stoichiometry in meV/atom: 525.7

a b c (Å): 5.959 6.314 6.753
angles (deg): 90.00 90.00 90.00
Space group Pnma (No. 62)
Inequivalent atoms, fractional coordinates:
La 0.146 0.250 0.168
Mg 0.200 0.250 0.687
B 0.000 0.000 0.500

---

LaMgB | PBE | relaxed

Values from the calculation:
Size of the total moment in μB/f.u.: 0.000
Formation enthalpy at 0 K in kJ per mole of atoms: -10.1
Energy above the lowest structure with this stoichiometry in meV/atom: 118.1

a b c (Å): 12.567 3.178 6.638
angles (deg): 90.00 92.89 90.00
Space group C2/m (No. 12)
Inequivalent atoms, fractional coordinates:
La 0.133 0.000 0.171
Mg 0.099 0.500 0.661
B 0.248 0.000 0.538

---

LaMgB | PBE | relaxed

Values from the calculation:
Size of the total moment in μB/f.u.: 0.000
Formation enthalpy at 0 K in kJ per mole of atoms: 4.7
Energy above the lowest structure with this stoichiometry in meV/atom: 271.0

a b c (Å): 12.844 3.899 5.650
angles (deg): 90.00 92.22 90.00
Space group Cm (No. 8)
Inequivalent atoms, fractional coordinates:
La 0.000 0.000 0.000
La 0.215 0.000 0.509
Mg 0.250 0.500 0.006
Mg 0.465 0.000 0.503
B 0.352 0.000 0.139
B 0.364 0.000 0.859

---

- Which formula does entry 4 have?
  Li2LaBRh